# RbMn3Ag, relaxed, DFT PBE
# E above lowest polymorph: 120.81 kJ per mole of atoms
# energy: -3.950 eV per atom
data_RbMn3Ag
_chemical_formula_sum 'Rb1 Mn3 Ag1'
_space_group_name_H-M_alt 'P m -3 m'
_space_group_IT_number 221
_space_group_name_Hall '-P 4 2 3'
_cell_length_a 4.9637
_cell_length_b 4.9637
_cell_length_c 4.9637
_cell_angle_alpha 90.00
_cell_angle_beta 90.00
_cell_angle_gamma 90.00
loop_
_atom_site_label
_atom_site_fract_x
_atom_site_fract_y
_atom_site_fract_z
Rb1 0.0000 0.0000 0.0000
Mn1 0.0000 0.0000 0.5000
Ag1 0.5000 0.5000 0.5000